No. 1
This record from the Alexandria database describes crystalline LaZn2Cl at its relaxed geometry. The functional is PBE-GGA.

Cell lengths 9.205, 9.205, 9.205 Å; angles 22.34, 22.34, 22.34 degrees
Atoms (fractional coordinates):
La1 0.000 0.000 0.000
Zn1 0.238 0.238 0.238
Zn2 0.762 0.762 0.762
Cl1 0.500 0.500 0.500

Values from the calculation:
- E_form (uncorrected): -1.2 eV per formula unit
- Total energy: -0.0967 Ha/atom

=====

No. 2
This record from the Alexandria database describes crystalline LaZnCl2 at its relaxed geometry. The functional is PBE-GGA.

Cell lengths 4.161, 4.521, 6.544 Å; angles 90.00, 102.93, 90.00 degrees
Atoms (fractional coordinates):
La1 0.000 0.000 0.000
Zn1 0.500 0.000 0.500
Cl1 0.139 0.500 0.773
Cl2 0.861 0.500 0.227

Values from the calculation:
- E_form (uncorrected): -4.8 eV per formula unit
- Total energy: -0.1348 Ha/atom

=====

No. 3
This record from the Alexandria database describes crystalline LaZnCl2 at its relaxed geometry. The functional is PBE-GGA.

Cell lengths 7.693, 7.693, 4.778 Å; angles 107.93, 107.93, 26.64 degrees
Atoms (fractional coordinates):
La1 0.000 0.000 0.000
Zn1 0.698 0.698 0.195
Cl1 0.341 0.341 0.842
Cl2 0.526 0.526 0.525

Values from the calculation:
- E_form (uncorrected): -5.1 eV per formula unit
- Total energy: -0.1376 Ha/atom

=====

No. 4
This record from the Alexandria database describes crystalline La7ZnCl12 at its relaxed geometry. The functional is PBE-GGA.

Cell lengths 9.505, 9.505, 9.505 Å; angles 110.06, 110.06, 110.06 degrees
Atoms (fractional coordinates):
La1 0.000 0.000 0.000
La2 0.141 0.349 0.445
La3 0.349 0.445 0.141
La4 0.445 0.141 0.349
La5 0.555 0.859 0.651
La6 0.651 0.555 0.859
La7 0.859 0.651 0.555
Zn1 0.500 0.500 0.500
Cl1 0.012 0.336 0.113
Cl2 0.113 0.012 0.336
Cl3 0.200 0.704 0.583
Cl4 0.296 0.417 0.800
Cl5 0.336 0.113 0.012
Cl6 0.417 0.800 0.296
Cl7 0.583 0.200 0.704
Cl8 0.664 0.887 0.988
Cl9 0.704 0.583 0.200
Cl10 0.800 0.296 0.417
Cl11 0.887 0.988 0.664
Cl12 0.988 0.664 0.887

Values from the calculation:
- E_form (uncorrected): -38.6 eV per formula unit
- Total energy: -0.1773 Ha/atom

=====

No. 5
This record from the Alexandria database describes crystalline LaZnCl3 at its relaxed geometry. The functional is PBE-GGA.

Cell lengths 4.976, 4.976, 4.976 Å; angles 90.00, 90.00, 90.00 degrees
Atoms (fractional coordinates):
La1 0.000 0.000 0.000
Zn1 0.500 0.500 0.500
Cl1 0.000 0.500 0.500
Cl2 0.500 0.000 0.500
Cl3 0.500 0.500 0.000

Values from the calculation:
- E_form (uncorrected): -4.7 eV per formula unit
- Total energy: -0.1211 Ha/atom

=====

No. 6
This record from the Alexandria database describes crystalline LaZn2Cl at its relaxed geometry. The functional is PBE-GGA.

Cell lengths 4.430, 4.430, 7.198 Å; angles 90.91, 90.91, 54.39 degrees
Atoms (fractional coordinates):
La1 0.000 0.000 0.000
Zn1 0.377 0.377 0.283
Zn2 0.691 0.691 0.288
Cl1 0.685 0.685 0.771

Values from the calculation:
- E_form (uncorrected): -2.9 eV per formula unit
- Total energy: -0.1120 Ha/atom

=====

No. 7
This record from the Alexandria database describes crystalline LaZnCl5 at its relaxed geometry. The functional is PBE-GGA.

Cell lengths 7.275, 7.275, 10.423 Å; angles 110.97, 110.97, 85.29 degrees
Atoms (fractional coordinates):
La1 0.000 0.500 0.000
La2 0.500 0.000 0.500
Zn1 0.144 0.856 0.750
Zn2 0.856 0.144 0.250
Cl1 0.140 0.185 0.448
Cl2 0.170 0.592 0.827
Cl3 0.185 0.140 0.948
Cl4 0.333 0.667 0.250
Cl5 0.408 0.830 0.673
Cl6 0.592 0.170 0.327
Cl7 0.667 0.333 0.750
Cl8 0.815 0.860 0.052
Cl9 0.830 0.408 0.173
Cl10 0.860 0.815 0.552

Values from the calculation:
- E_form (uncorrected): -12.7 eV per formula unit
- Total energy: -0.1477 Ha/atom

=====

No. 8
This record from the Alexandria database describes crystalline LaZnCl2 at its relaxed geometry. The functional is PBE-GGA.

Cell lengths 5.248, 5.248, 5.613 Å; angles 104.96, 104.96, 44.22 degrees
Atoms (fractional coordinates):
La1 0.000 0.000 0.000
Zn1 0.500 0.500 0.500
Cl1 0.279 0.279 0.788
Cl2 0.721 0.721 0.212

Values from the calculation:
- E_form (uncorrected): -5.0 eV per formula unit
- Total energy: -0.1373 Ha/atom

=====

| no. | N(E_F) (states/eV per cell) | calculated density (g/cm3) |
| --- | --- | --- |
| 1 | 2.33 | 5.131 |
| 2 | 1.29 | 3.809 |
| 3 | 2.03 | 3.800 |
| 4 | 10.51 | 3.760 |
| 5 | 7.35 | 4.188 |
| 6 | 0.83 | 4.414 |
| 7 | 0.00 | 2.639 |
| 8 | 2.29 | 4.415 |